5
Lattice="4.599 0.000 0.000 0.000 4.599 0.000 0.000 0.000 4.730" Properties=species:S:1:pos:R:3 comment="GGA-PBE BiCSe2Br, optimized geometry" polymorph_energy_ev_per_atom=0.000 pbc="T T T"
Bi 0.000 0.000 0.000
C 2.300 2.300 2.365
Se 0.000 2.300 2.365
Se 2.300 0.000 2.365
Br 2.300 2.300 0.000

---

SrBiCBr2 | GGA-PBE | optimized geometry

Geometry as extended XYZ:
```
5
Lattice="5.651 0.000 0.000 0.000 5.651 0.000 0.000 0.000 6.806" Properties=species:S:1:pos:R:3 pbc="T T T"
Sr 0.000 0.000 0.000
Bi 0.000 0.000 3.403
C 2.826 2.826 0.000
Br 0.000 2.826 3.403
Br 2.826 0.000 3.403
```

---

BiTeC2Br | GGA-PBE | optimized geometry

Geometry as extended XYZ:
```
5
Lattice="4.497 0.000 0.000 0.000 4.497 0.000 0.000 0.000 6.173" Properties=species:S:1:pos:R:3 pbc="T T T"
Bi 0.000 0.000 0.000
Te 2.249 2.249 0.000
C 0.000 2.249 3.086
C 2.249 0.000 3.086
Br 0.000 0.000 3.086
```

---

4
Lattice="0.000 3.874 3.874 3.874 0.000 3.874 3.874 3.874 0.000" Properties=species:S:1:pos:R:3 comment="GGA-PBE CaBiBr2, optimized geometry" polymorph_energy_ev_per_atom=0.502 pbc="T T T"
Ca 0.000 0.000 0.000
Bi 3.874 3.874 3.874
Br 1.937 1.937 1.937
Br 5.811 5.811 5.811

---

Ca3Bi2Br | GGA-PBE | optimized geometry

Geometry as extended XYZ:
```
24
Lattice="10.815 0.000 0.000 0.000 4.040 0.000 0.000 0.000 18.136" Properties=species:S:1:pos:R:3 pbc="T T T"
Ca 1.270 1.010 1.762
Ca 1.333 1.010 13.393
Ca 1.425 3.030 7.625
Ca 3.983 1.010 16.693
Ca 4.075 3.030 4.325
Ca 4.138 3.030 10.830
Ca 6.677 1.010 7.306
Ca 6.741 1.010 13.811
Ca 6.832 3.030 1.443
Ca 9.391 1.010 10.511
Ca 9.483 3.030 4.743
Ca 9.546 3.030 16.374
Bi 1.423 1.010 4.971
Bi 1.740 1.010 10.195
Bi 3.667 3.030 1.127
Bi 3.985 3.030 14.039
Bi 6.831 1.010 4.098
Bi 7.148 1.010 17.010
Bi 9.075 3.030 7.942
Bi 9.393 3.030 13.166
Br 0.869 1.010 16.562
Br 4.539 3.030 7.494
Br 6.276 1.010 10.642
Br 9.947 3.030 1.574
```

---

10
Lattice="7.445 0.000 0.000 0.000 7.445 0.000 0.000 0.000 8.160" Properties=species:S:1:pos:R:3 comment="GGA-PBE CaBi2Br2, optimized geometry" polymorph_energy_ev_per_atom=0.081 pbc="T T T"
Ca 0.000 0.000 0.000
Ca 3.722 3.722 0.000
Bi 0.988 2.734 4.080
Bi 2.734 6.457 4.080
Bi 4.710 0.988 4.080
Bi 6.457 4.710 4.080
Br 1.298 5.020 0.000
Br 2.424 1.298 0.000
Br 5.020 6.147 0.000
Br 6.147 2.424 0.000

---

8
Lattice="-4.257 4.257 3.582 4.257 -4.257 3.582 4.257 4.257 -3.582" Properties=species:S:1:pos:R:3 comment="GGA-PBE CaBiBr2, optimized geometry" polymorph_energy_ev_per_atom=0.328 pbc="T T T"
Ca 0.000 0.000 0.000
Ca 0.000 4.257 1.791
Bi 4.257 0.000 1.791
Bi 0.000 0.000 3.582
Br 2.128 1.784 -0.895
Br 2.473 -2.128 4.477
Br 2.128 2.473 2.686
Br 1.784 6.385 0.895

---

Ca2BiBr2 | GGA-PBE | optimized geometry

Geometry as extended XYZ:
```
5
Lattice="3.644 -2.120 0.000 3.644 2.120 0.000 -2.697 0.000 12.046" Properties=species:S:1:pos:R:3 pbc="T T T"
Ca 1.205 0.000 2.242
Ca 3.386 0.000 9.804
Bi 3.644 0.000 0.000
Br -1.468 0.000 8.231
Br 6.059 0.000 3.814
```

---

4
Lattice="1.930 1.115 12.467 -1.930 1.115 12.467 0.000 -2.229 12.467" Properties=species:S:1:pos:R:3 comment="GGA-PBE CaBiBr2, optimized geometry" polymorph_energy_ev_per_atom=0.000 pbc="T T T"
Ca 0.000 0.000 0.000
Bi 0.000 0.000 18.700
Br 0.000 0.000 14.230
Br 0.000 0.000 23.169

---

Ca4BiBr5 | GGA-PBE | optimized geometry

Geometry as extended XYZ:
```
10
Lattice="9.442 -2.203 0.000 9.442 2.203 0.000 -2.200 0.000 8.468" Properties=species:S:1:pos:R:3 pbc="T T T"
Ca -0.491 0.000 2.130
Ca 4.284 0.000 7.528
Ca 12.400 0.000 0.941
Ca 17.176 0.000 6.338
Bi 9.442 0.000 0.000
Br 2.423 0.000 2.802
Br 1.307 0.000 7.355
Br 8.342 0.000 4.234
Br 15.377 0.000 1.113
Br 14.261 0.000 5.667
```

---

5
Lattice="-2.101 2.101 12.303 2.101 -2.101 12.303 2.101 2.101 -12.303" Properties=species:S:1:pos:R:3 comment="GGA-PBE CaBi2Br2, optimized geometry" polymorph_energy_ev_per_atom=0.000 pbc="T T T"
Ca 0.000 0.000 0.000
Bi 2.101 0.000 6.152
Bi 0.000 2.101 6.152
Br 0.000 0.000 10.644
Br 0.000 0.000 13.963

---

CaCoBiBr2 | GGA-PBE | optimized geometry

Geometry as extended XYZ:
```
5
Lattice="5.721 0.000 0.000 0.000 5.721 0.000 0.000 0.000 6.426" Properties=species:S:1:pos:R:3 pbc="T T T"
Ca 0.000 0.000 0.000
Co 2.861 2.861 0.000
Bi 0.000 0.000 3.213
Br 0.000 2.861 3.213
Br 2.861 0.000 3.213
```

---

It is found that the E_form (uncorrected) values, taken in the order of the records, are 4.40 4.15 12.81 -2.58 -6.55 -3.05 -3.28 -7.34 -4.59 -17.29 -3.46 2.11 eV/f.u..
It is found that the M_tot values, taken in the order of the records, are 0.000 0.587 0.528 0.000 0.000 0.000 0.000 0.000 0.000 0.000 0.000 0.429 μB per atom.